The following is a DFT calculation (PBE with a Hubbard U) of crystalline Li2Mn3SbO8 at its relaxed geometry.

Output
The value obtained for the energy relative to the lowest polymorph listed for this composition is 16.3 meV per atom. As for the space group: P2_1/c (14).

```
28
Lattice="6.106 0.000 0.000 0.000 5.910 0.000 -5.894 0.000 8.933" Properties=species:S:1:pos:R:3 pbc="T T T"
Li -1.525 0.022 3.262
Li -4.472 2.933 7.729
Li 4.683 2.977 1.204
Li 1.736 5.888 5.671
Mn 1.572 4.404 2.200
Mn -1.375 4.461 6.666
Mn 3.053 0.000 0.000
Mn 0.106 2.955 4.467
Mn 1.587 1.449 2.267
Mn -1.360 1.506 6.734
Sb 0.000 0.000 0.000
Sb -2.947 2.955 4.467
O -1.583 4.388 4.486
O 1.364 4.477 0.019
O -4.331 1.286 8.910
O -1.384 1.669 4.444
O 0.193 5.909 2.064
O -2.754 2.957 6.531
O -2.640 0.028 6.914
O 0.307 2.927 2.447
O -0.095 2.984 6.486
O 2.852 5.882 2.020
O 0.019 0.002 6.869
O 2.966 2.954 2.403
O 1.596 4.242 4.489
O 4.543 4.624 0.023
O -1.153 1.433 8.914
O 1.794 1.522 4.447
```